Here is a relaxed structure of ZrUNbN3 from Alexandria. Energies are from PBE-GGA. Values from VASP.

formation energy from raw total energies	-1.147	eV/atom

Quantum ESPRESSO input file:
```
&SYSTEM
  ibrav = 0, nat = 12, ntyp = 4
/
ATOMIC_SPECIES
Zr 91.22 Zr.upf
U 238.03 U.upf
Nb 92.91 Nb.upf
N 14.01 N.upf
CELL_PARAMETERS angstrom
6.8920 0.0000 0.0000
0.0000 3.1363 0.0000
-0.2605 0.0000 8.0779
ATOMIC_POSITIONS angstrom
Zr 0.8322 0.7841 1.1402
Zr 5.7994 2.3523 6.9377
U 2.2847 2.3523 6.6911
U 4.3468 0.7841 1.3868
Nb 2.2670 2.3523 3.4091
Nb 4.3645 0.7841 4.6688
N 0.5528 0.7841 7.0378
N 2.2225 0.7841 4.8753
N 2.4825 2.3523 1.0855
N 4.1490 0.7841 6.9924
N 4.4091 2.3523 3.2026
N 6.0787 2.3523 1.0401
```


Here is a relaxed structure of NbVN3 from Alexandria. Energies are from PBE-GGA. Values from VASP.

formation energy from raw total energies	0.555	eV/atom

Quantum ESPRESSO input file:
```
&SYSTEM
  ibrav = 0, nat = 5, ntyp = 3
/
ATOMIC_SPECIES
Nb 92.91 Nb.upf
V 50.94 V.upf
N 14.01 N.upf
CELL_PARAMETERS angstrom
4.0392 0.0000 0.0000
0.0000 4.0392 0.0000
0.0000 0.0000 4.0392
ATOMIC_POSITIONS angstrom
Nb 0.0000 0.0000 0.0000
V 2.0196 2.0196 2.0196
N 0.0000 0.0000 2.0196
N 0.0000 2.0196 0.0000
N 2.0196 0.0000 0.0000
```


Here is a relaxed structure of NbV2N from Alexandria. Energies are from PBE-GGA. Values from VASP.

formation energy from raw total energies	-0.343	eV/atom

Quantum ESPRESSO input file:
```
&SYSTEM
  ibrav = 0, nat = 4, ntyp = 3
/
ATOMIC_SPECIES
Nb 92.91 Nb.upf
V 50.94 V.upf
N 14.01 N.upf
CELL_PARAMETERS angstrom
1.4509 0.8377 7.2650
-1.4509 0.8377 7.2650
0.0000 -1.6753 7.2650
ATOMIC_POSITIONS angstrom
Nb 0.0000 0.0000 0.0000
V 0.0000 0.0000 2.5451
V 0.0000 0.0000 19.2498
N 0.0000 0.0000 10.8975
```


Question: Which of these has the highest formation energy from raw total energies?
Answer: NbVN3


Question: Among the records above, which one has the lowest formation energy from raw total energies?
Answer: ZrUNbN3